CsTmCo2F8 | PBE with a Hubbard U | optimized geometry

Geometry as extended XYZ:
```
12
Lattice="-2.487 -3.879 1.631 1.931 0.512 4.608 -6.266 5.875 2.772" Properties=species:S:1:pos:R:3 pbc="T T T"
F -2.854 0.599 3.128
F -0.195 0.588 4.361
F -4.150 4.662 6.149
F -3.968 1.909 5.883
F -6.468 4.695 4.614
F -0.354 -2.187 4.397
F -6.627 1.920 4.650
F -2.672 -2.154 2.862
Tm 0.000 0.000 0.000
Co -5.333 3.131 5.562
Co -1.489 -0.623 3.449
Cs -3.133 2.938 1.386
```

The magnetization is 6.0 μB/f.u. For the total energy, the calculation gives -5.388 eV per atom. The symmetry is No. 2. The value obtained for the calculated density is 4.3 Mg/m³.